(1)
# LiHfOs2

A relaxed LiHfOs2 crystal (PBE-GGA, OQMD via LeMat-Bulk).

Results
* final energy: -0.314 hartree per atom
* total magnetization: 0.01 μB per cell

Unit cell a=6.2482 b=6.2482 c=6.2482 alpha=90.00 beta=90.00 gamma=90.00
Closest atoms and distances in Å follow each position.
Space group F-43m (No. 216)
Symmetry-distinct sites (fractional):
Li (0.0000, 0.0000, 0.0000) [4 per cell]  4 Hf 2.71, 4 Os 2.71
Hf (0.2500, 0.2500, 0.2500) [4 per cell]  4 Os 2.71, 4 Li 2.71
Os (0.0000, 0.0000, 0.5000) [4 per cell]  4 Hf 2.71, 4 Os 2.71
Os (0.2500, 0.2500, 0.7500) [4 per cell]  4 Li 2.71, 4 Os 2.71



(2)
# Sr2CdSbP

A relaxed Sr2CdSbP crystal (PBE-GGA, OQMD via LeMat-Bulk).

Results
* energy above the lowest structure with this stoichiometry: 0.606 kcal/mol of atoms

Unit cell a=4.5589 b=18.0569 c=7.3142 alpha=90.00 beta=90.00 gamma=90.00
Closest atoms and distances in Å follow each position.
Space group Cmc2_1 (No. 36)
Symmetry-distinct sites (fractional):
Sr (0.0000, 0.0226, 0.0000) [4 per cell]  4 P 3.11-3.18, 1 Sb 3.24, 2 Cd 3.32
Sr (0.0000, 0.1881, 0.2959) [4 per cell]  2 P 3.27, 3 Sb 3.34-3.49
Cd (0.0000, 0.4036, 0.1512) [4 per cell]  2 P 2.73-2.97, 2 Sb 2.84
Sb (0.0000, 0.1769, 0.7724) [4 per cell]  2 Cd 2.84
P (0.0000, 0.4421, 0.7898) [4 per cell]  2 Cd 2.73-2.97